[1]
BaSr2Y | PBEsol | relaxed

Lattice parameters (Å, degrees): 3.9502 5.6873 8.0534 90.00 90.00 90.00
Last column: nearest neighbours and their distance in Å.
Fractional positions:
Ba (0.0000, 0.0000, 0.0000)  5 Sr 3.77-4.09, 4 Y 3.94, 2 Ba 3.95
Sr (0.0000, 0.0000, 0.5315)  1 Ba 3.77, 4 Y 3.94, 6 Sr 3.95-4.05
Sr (0.5000, 0.5000, 0.2696)  6 Sr 3.95-4.05, 2 Y 3.99-4.06, 4 Ba 4.09
Y (0.5000, 0.5000, 0.7653)  6 Sr 3.94-4.06, 4 Ba 3.94, 2 Y 3.95

Summary:
Theoretical density = 3.68 g/cm³
Crystal system = orthorhombic
Fermi-level density of states = 7.22 states/eV/cell
Total magnetic moment = 0.02 μB/cell
Symmetry = Pmm2
Energy above the most stable polymorph in this dataset = 23 meV per atom

[2]
HfCuOs3 | PBEsol | relaxed

Lattice parameters (Å, degrees): 4.7105 4.7105 4.7105 90.00 90.00 90.00
Last column: nearest neighbours and their distance in Å.
Fractional positions:
Hf (0.0000, 0.0000, 0.0000)  6 Os 2.36
Cu (0.5000, 0.5000, 0.5000)  12 Os 3.33
Os (0.0000, 0.0000, 0.5000)  2 Hf 2.36
Os (0.0000, 0.5000, 0.0000)  2 Hf 2.36
Os (0.5000, 0.0000, 0.0000)  2 Hf 2.36

Summary:
Theoretical density = 12.91 g/cm³
Crystal system = cubic
Fermi-level density of states = 6.37 states/eV/cell
Total magnetic moment = 2.16 μB/cell
Symmetry = Pm-3m
Energy above the most stable polymorph in this dataset = 1304 meV per atom

[3]
MgCd2Ag | PBEsol | relaxed

Lattice parameters (Å, degrees): 9.6417 9.6417 9.6417 18.48 18.48 18.48
Last column: nearest neighbours and their distance in Å.
Fractional positions:
Mg (0.0000, 0.0000, 0.0000)  6 Cd 3.03, 6 Mg 3.10
Cd (0.2472, 0.2472, 0.2472)  3 Ag 2.90, 3 Mg 3.03, 6 Cd 3.10
Cd (0.7528, 0.7528, 0.7528)  3 Ag 2.90, 3 Mg 3.03, 6 Cd 3.10
Ag (0.5000, 0.5000, 0.5000)  6 Cd 2.90, 6 Ag 3.10

Summary:
Theoretical density = 7.53 g/cm³
Crystal system = trigonal
Fermi-level density of states = 1.71 states/eV/cell
Total magnetic moment = 0.00 μB/cell
Symmetry = R-3m
Energy above the most stable polymorph in this dataset = 81 meV per atom

[4]
Tc2NiPb | PBEsol | relaxed

Lattice parameters (Å, degrees): 4.2900 3.0873 4.6924 90.00 101.95 90.00
Last column: nearest neighbours and their distance in Å.
Fractional positions:
Tc (0.0000, 0.0000, 0.0000)  4 Tc 2.64, 4 Ni 2.81, 2 Pb 2.83
Tc (0.5000, 0.5000, 0.0000)  4 Tc 2.64, 4 Pb 2.81, 2 Ni 2.83
Ni (0.0000, 0.5000, 0.5000)  4 Pb 2.64, 6 Tc 2.81-2.83
Pb (0.5000, 0.0000, 0.5000)  4 Ni 2.64, 6 Tc 2.81-2.83

Summary:
Theoretical density = 12.61 g/cm³
Crystal system = monoclinic
Final energy = -7.625 eV/atom
Fermi-level density of states = 3.59 states/eV/cell
Total magnetic moment = 0.00 μB/cell
Symmetry = P2/m

[5]
Re2NiBr | PBEsol | relaxed

Lattice parameters (Å, degrees): 8.4369 8.4369 8.4369 19.48 19.48 19.48
Last column: nearest neighbours and their distance in Å.
Fractional positions:
Re (0.0000, 0.0000, 0.0000)  3 Ni 2.59, 9 Re 2.64-2.86
Re (0.2501, 0.2501, 0.2501)  9 Re 2.64-2.86, 3 Br 2.78
Ni (0.7473, 0.7473, 0.7473)  3 Br 2.56, 3 Re 2.59, 6 Ni 2.86
Br (0.4931, 0.4931, 0.4931)  3 Ni 2.56, 3 Re 2.78, 6 Br 2.86

Summary:
Theoretical density = 14.53 g/cm³
Crystal system = trigonal
Fermi-level density of states = 3.78 states/eV/cell
Total magnetic moment = 0.00 μB/cell
Symmetry = R3m
Energy above the most stable polymorph in this dataset = 0 meV per atom

[6]
Sm2AlGe3 | PBEsol | relaxed

Lattice parameters (Å, degrees): 6.7715 4.2415 17.7615 90.00 90.00 90.00
Last column: nearest neighbours and their distance in Å.
Fractional positions:
Sm (0.1690, 0.2500, 0.2040)  9 Ge 2.98-3.31
Sm (0.1702, 0.2500, 0.4155)  7 Ge 2.98-3.08, 3 Al 3.27-3.34
Sm (0.3298, 0.7500, 0.9155)  7 Ge 2.98-3.08, 3 Al 3.27-3.34
Sm (0.3310, 0.7500, 0.7040)  9 Ge 2.98-3.31
Sm (0.6690, 0.2500, 0.2960)  9 Ge 2.98-3.31
Sm (0.6702, 0.2500, 0.0845)  7 Ge 2.98-3.08, 3 Al 3.27-3.34
Sm (0.8298, 0.7500, 0.5845)  7 Ge 2.98-3.08, 3 Al 3.27-3.34
Sm (0.8310, 0.7500, 0.7960)  9 Ge 2.98-3.31
Al (0.0478, 0.7500, 0.0648)  4 Ge 2.56-2.66
Al (0.4522, 0.2500, 0.5648)  4 Ge 2.56-2.66
Al (0.5478, 0.7500, 0.4352)  4 Ge 2.56-2.66
Al (0.9522, 0.2500, 0.9352)  4 Ge 2.56-2.66
Ge (0.0307, 0.2500, 0.6745)  2 Ge 2.55-2.61
Ge (0.1467, 0.2500, 0.8113)  2 Ge 2.55-2.61, 1 Al 2.56
Ge (0.2442, 0.2500, 0.0352)  3 Al 2.56-2.66
Ge (0.2558, 0.7500, 0.5352)  3 Al 2.56-2.66
Ge (0.3533, 0.7500, 0.3113)  2 Ge 2.55-2.61, 1 Al 2.56
Ge (0.4693, 0.7500, 0.1745)  2 Ge 2.55-2.61
Ge (0.5307, 0.2500, 0.8255)  2 Ge 2.55-2.61
Ge (0.6467, 0.2500, 0.6887)  2 Ge 2.55-2.61, 1 Al 2.56
Ge (0.7442, 0.2500, 0.4648)  3 Al 2.56-2.66
Ge (0.7558, 0.7500, 0.9648)  3 Al 2.56-2.66
Ge (0.8533, 0.7500, 0.1887)  2 Ge 2.55-2.61, 1 Al 2.56
Ge (0.9693, 0.7500, 0.3255)  2 Ge 2.55-2.61

Summary:
Theoretical density = 7.10 g/cm³
Crystal system = orthorhombic
Final energy = -5.567 eV/atom
Fermi-level density of states = 11.18 states/eV/cell
Total magnetic moment = 0.00 μB/cell
Symmetry = Pnma

[7]
Sc2InSe | PBEsol | relaxed

Lattice parameters (Å, degrees): 3.7144 4.2185 5.6301 90.00 90.00 90.00
Last column: nearest neighbours and their distance in Å.
Fractional positions:
Sc (0.0000, 0.0000, 0.0000)  4 Se 2.81, 2 In 2.82
Sc (0.5000, 0.5000, 0.5000)  4 In 2.81, 2 Se 2.82
In (0.0000, 0.0000, 0.5000)  6 Sc 2.81-2.82
Se (0.5000, 0.5000, 0.0000)  6 Sc 2.81-2.82

Summary:
Theoretical density = 5.34 g/cm³
Crystal system = orthorhombic
Fermi-level density of states = 2.38 states/eV/cell
Total magnetic moment = 0.00 μB/cell
Symmetry = Pmmm
Energy above the most stable polymorph in this dataset = 180 meV per atom

[8]
Rb3TaS4 | PBEsol | relaxed

Lattice parameters (Å, degrees): 9.5132 10.9314 9.6287 90.00 90.00 90.00
Last column: nearest neighbours and their distance in Å.
Fractional positions:
Rb (0.0526, 0.0430, 0.2100)  7 S 3.29-3.64
Rb (0.0526, 0.4570, 0.2100)  7 S 3.29-3.64
Rb (0.1413, 0.7500, 0.4197)  5 S 3.24-3.53
Rb (0.3587, 0.2500, 0.9197)  5 S 3.24-3.53
Rb (0.4474, 0.5430, 0.7100)  7 S 3.29-3.64
Rb (0.4474, 0.9570, 0.7100)  7 S 3.29-3.64
Rb (0.5526, 0.0430, 0.2900)  7 S 3.29-3.64
Rb (0.5526, 0.4570, 0.2900)  7 S 3.29-3.64
Rb (0.6413, 0.7500, 0.0803)  5 S 3.24-3.53
Rb (0.8587, 0.2500, 0.5803)  5 S 3.24-3.53
Rb (0.9474, 0.5430, 0.7900)  7 S 3.29-3.64
Rb (0.9474, 0.9570, 0.7900)  7 S 3.29-3.64
Ta (0.2196, 0.7500, 0.9859)  4 S 2.27-2.28
Ta (0.2804, 0.2500, 0.4859)  4 S 2.27-2.28
Ta (0.7196, 0.7500, 0.5141)  4 S 2.27-2.28
Ta (0.7804, 0.2500, 0.0141)  4 S 2.27-2.28
S (0.9995, 0.2500, 0.9191)  1 Ta 2.28
S (0.0005, 0.7500, 0.0809)  1 Ta 2.28
S (0.1640, 0.0781, 0.5508)  1 Ta 2.27
S (0.1640, 0.4219, 0.5508)  1 Ta 2.27
S (0.1995, 0.7500, 0.7509)  1 Ta 2.27
S (0.3005, 0.2500, 0.2509)  1 Ta 2.27
S (0.3360, 0.5781, 0.0508)  1 Ta 2.27
S (0.3360, 0.9219, 0.0508)  1 Ta 2.27
S (0.4995, 0.2500, 0.5809)  1 Ta 2.28
S (0.5005, 0.7500, 0.4191)  1 Ta 2.28
S (0.6640, 0.0781, 0.9492)  1 Ta 2.27
S (0.6640, 0.4219, 0.9492)  1 Ta 2.27
S (0.6995, 0.7500, 0.7491)  1 Ta 2.27
S (0.8005, 0.2500, 0.2491)  1 Ta 2.27
S (0.8360, 0.5781, 0.4492)  1 Ta 2.27
S (0.8360, 0.9219, 0.4492)  1 Ta 2.27

Summary:
Theoretical density = 3.75 g/cm³
Crystal system = orthorhombic
Final energy = -5.409 eV/atom
Fermi-level density of states = 0.00 states/eV/cell
Total magnetic moment = 0.00 μB/cell
Symmetry = Pnma